A relaxed AcNd3YEr crystal, computed with PBE-GGA.

E (eV per cell): -58.4
Energy relative to the elements (meV/atom): 39.2

Cell: 5.237 8.219 11.039 Å, 116.22 90.00 90.00°
Positions (direct):
Nd  0.750  0.380  0.208
Nd  0.750  0.373  0.546
Nd  0.750  0.868  0.040
Nd  0.250  0.132  0.960
Nd  0.250  0.620  0.792
Nd  0.250  0.627  0.454
Er  0.250  0.130  0.628
Er  0.750  0.870  0.372
Ac  0.750  0.878  0.707
Ac  0.250  0.122  0.293
Y  0.750  0.380  0.876
Y  0.250  0.620  0.124